# Mg2SiPt

Mg2SiPt after structural relaxation (PBE, OQMD via LeMat-Bulk).

abc: 4.4885 4.4885 4.4885
angles: 60.00 60.00 60.00
With the nearest neighbours (Å) after each atom.
Positions (direct):
Mg 0.0000 0.0000 0.0000  4 Mg 2.75, 4 Pt 2.75
Mg 0.7500 0.7500 0.7500  4 Mg 2.75, 4 Si 2.75
Si 0.5000 0.5000 0.5000  4 Mg 2.75, 4 Pt 2.75
Pt 0.2500 0.2500 0.2500  4 Mg 2.75, 4 Si 2.75

E	-4.006	eV/atom
symmetry	F-43m